Record 1
VASP calculation (PBE-GGA) on crystalline ErZrPaO6 at its relaxed geometry.

Cell: 5.5845 5.5845 9.5091 Å, 90.00 90.00 120.00°
Last column: nearest neighbours and their distance in Å.
Sites, in units of the cell vectors:
Er 0.3333 0.6667 0.2500  6 O 2.25
Er 0.6667 0.3333 0.7500  6 O 2.25
Zr 0.3333 0.6667 0.7500  6 O 2.13
Zr 0.6667 0.3333 0.2500  6 O 2.13
Pa 0.0000 0.0000 0.0000  6 O 2.22
Pa 0.0000 0.0000 0.5000  6 O 2.22
O 0.0171 0.3375 0.6302  1 Zr 2.13, 1 Pa 2.22, 1 Er 2.25
O 0.0171 0.6796 0.8698  1 Zr 2.13, 1 Pa 2.22, 1 Er 2.25
O 0.3204 0.3375 0.8698  1 Zr 2.13, 1 Pa 2.22, 1 Er 2.25
O 0.3204 0.9829 0.6302  1 Zr 2.13, 1 Pa 2.22, 1 Er 2.25
O 0.3375 0.0171 0.1302  1 Zr 2.13, 1 Pa 2.22, 1 Er 2.25
O 0.3375 0.3204 0.3698  1 Zr 2.13, 1 Pa 2.22, 1 Er 2.25
O 0.6625 0.6796 0.6302  1 Zr 2.13, 1 Pa 2.22, 1 Er 2.25
O 0.6625 0.9829 0.8698  1 Zr 2.13, 1 Pa 2.22, 1 Er 2.25
O 0.6796 0.0171 0.3698  1 Zr 2.13, 1 Pa 2.22, 1 Er 2.25
O 0.6796 0.6625 0.1302  1 Zr 2.13, 1 Pa 2.22, 1 Er 2.25
O 0.9829 0.3204 0.1302  1 Zr 2.13, 1 Pa 2.22, 1 Er 2.25
O 0.9829 0.6625 0.3698  1 Zr 2.13, 1 Pa 2.22, 1 Er 2.25

Output
- volume (Å³/cell) = 256.8
- calculated total energy (eV/atom) = -9.2725
- space-group type = P-31c (163)

Record 2
VASP calculation (PBE-GGA) on crystalline Er3PbO7 at its relaxed geometry.

Cell: 6.5897 6.5897 7.5300 Å, 90.00 90.00 111.07°
Last column: nearest neighbours and their distance in Å.
Sites, in units of the cell vectors:
Er 0.0007 0.0007 0.0000  8 O 2.35-2.49
Er 0.0293 0.4924 0.2503  7 O 2.22-2.44
Er 0.4924 0.0293 0.7497  7 O 2.22-2.44
Er 0.5076 0.9707 0.2497  7 O 2.22-2.44
Er 0.9707 0.5076 0.7503  7 O 2.22-2.44
Er 0.9993 0.9993 0.5000  8 O 2.35-2.49
Pb 0.5001 0.5001 0.0000  6 O 2.18-2.19
Pb 0.4999 0.4999 0.5000  6 O 2.18-2.19
O 0.1288 0.8712 0.2500  4 Er 2.34-2.35, 4 O 2.61-2.62
O 0.1325 0.8675 0.7500  4 Er 2.22-2.37
O 0.1492 0.4014 0.5354  1 Pb 2.18, 2 Er 2.25-2.44
O 0.1494 0.4018 0.9653  1 Pb 2.18, 2 Er 2.25-2.43
O 0.3979 0.6021 0.2500  2 Pb 2.19, 2 Er 2.27
O 0.4014 0.1492 0.4646  1 Pb 2.18, 2 Er 2.25-2.44
O 0.4018 0.1494 0.0347  1 Pb 2.18, 2 Er 2.25-2.43
O 0.5982 0.8506 0.5347  1 Pb 2.18, 2 Er 2.25-2.43
O 0.5986 0.8508 0.9646  1 Pb 2.18, 2 Er 2.25-2.44
O 0.6021 0.3979 0.7500  2 Pb 2.19, 2 Er 2.27
O 0.8506 0.5982 0.4653  1 Pb 2.18, 2 Er 2.25-2.43
O 0.8508 0.5986 0.0354  1 Pb 2.18, 2 Er 2.25-2.44
O 0.8675 0.1325 0.2500  4 Er 2.22-2.37
O 0.8712 0.1288 0.7500  4 Er 2.34-2.35, 4 O 2.61-2.62

Output
- volume (Å³/cell) = 305.1
- calculated total energy (eV/atom) = -7.3764
- space-group type = C222_1 (20)

Record 3
VASP calculation (PBE-GGA) on crystalline Er3Pb5O12 at its relaxed geometry.

Cell: 11.7846 11.7846 11.7846 Å, 109.47 109.47 109.47°
Last column: nearest neighbours and their distance in Å.
Sites, in units of the cell vectors:
Er 0.1250 0.2500 0.3750  8 O 2.46-2.51
Er 0.1250 0.3750 0.7500  8 O 2.46-2.51
Er 0.2500 0.3750 0.1250  8 O 2.46-2.51
Er 0.2500 0.8750 0.6250  8 O 2.46-2.51
Er 0.3750 0.1250 0.2500  8 O 2.46-2.51
Er 0.3750 0.7500 0.1250  8 O 2.46-2.51
Er 0.6250 0.2500 0.8750  8 O 2.46-2.51
Er 0.6250 0.8750 0.7500  8 O 2.46-2.51
Er 0.7500 0.1250 0.3750  8 O 2.46-2.51
Er 0.7500 0.6250 0.8750  8 O 2.46-2.51
Er 0.8750 0.6250 0.2500  8 O 2.46-2.51
Er 0.8750 0.7500 0.6250  8 O 2.46-2.51
Pb 0.0000 0.0000 0.0000  6 O 2.31
Pb 0.0000 0.0000 0.5000  6 O 2.31
Pb 0.0000 0.5000 0.0000  6 O 2.31
Pb 0.0000 0.5000 0.5000  6 O 2.31
Pb 0.1250 0.7500 0.8750  4 O 2.23
Pb 0.1250 0.8750 0.2500  4 O 2.23
Pb 0.2500 0.1250 0.8750  4 O 2.23
Pb 0.2500 0.6250 0.3750  4 O 2.23
Pb 0.3750 0.2500 0.6250  4 O 2.23
Pb 0.3750 0.6250 0.7500  4 O 2.23
Pb 0.5000 0.0000 0.0000  6 O 2.31
Pb 0.5000 0.0000 0.5000  6 O 2.31
Pb 0.5000 0.5000 0.0000  6 O 2.31
Pb 0.5000 0.5000 0.5000  6 O 2.31
Pb 0.6250 0.3750 0.2500  4 O 2.23
Pb 0.6250 0.7500 0.3750  4 O 2.23
Pb 0.7500 0.3750 0.6250  4 O 2.23
Pb 0.7500 0.8750 0.1250  4 O 2.23
Pb 0.8750 0.1250 0.7500  4 O 2.23
Pb 0.8750 0.2500 0.1250  4 O 2.23
O 0.0573 0.2250 0.1382  2 Pb 2.23-2.31, 1 Er 2.46
O 0.0573 0.3324 0.9191  2 Pb 2.23-2.31, 1 Er 2.46
O 0.0809 0.6382 0.4132  2 Pb 2.23-2.31, 1 Er 2.46
O 0.0809 0.9427 0.6676  2 Pb 2.23-2.31, 1 Er 2.46
O 0.0868 0.7250 0.6676  2 Pb 2.23-2.31, 1 Er 2.46
O 0.0868 0.8618 0.4191  2 Pb 2.23-2.31, 1 Er 2.46
O 0.1382 0.0573 0.2250  2 Pb 2.23-2.31, 1 Er 2.46
O 0.1382 0.5809 0.9132  2 Pb 2.23-2.31, 1 Er 2.46
O 0.1676 0.2250 0.5868  2 Pb 2.23-2.31, 1 Er 2.46
O 0.1676 0.4427 0.5809  2 Pb 2.23-2.31, 1 Er 2.46
O 0.2250 0.1382 0.0573  2 Pb 2.23-2.31, 1 Er 2.46
O 0.2250 0.5868 0.1676  2 Pb 2.23-2.31, 1 Er 2.46
O 0.2750 0.3324 0.9132  2 Pb 2.23-2.31, 1 Er 2.46
O 0.2750 0.4427 0.3618  2 Pb 2.23-2.31, 1 Er 2.46
O 0.3324 0.9132 0.2750  2 Pb 2.23-2.31, 1 Er 2.46
O 0.3324 0.9191 0.0573  2 Pb 2.23-2.31, 1 Er 2.46
O 0.3618 0.2750 0.4427  2 Pb 2.23-2.31, 1 Er 2.46
O 0.3618 0.5868 0.9191  2 Pb 2.23-2.31, 1 Er 2.46
O 0.4132 0.0809 0.6382  2 Pb 2.23-2.31, 1 Er 2.46
O 0.4132 0.8324 0.7750  2 Pb 2.23-2.31, 1 Er 2.46
O 0.4191 0.0868 0.8618  2 Pb 2.23-2.31, 1 Er 2.46
O 0.4191 0.8324 0.5573  2 Pb 2.23-2.31, 1 Er 2.46
O 0.4427 0.3618 0.2750  2 Pb 2.23-2.31, 1 Er 2.46
O 0.4427 0.5809 0.1676  2 Pb 2.23-2.31, 1 Er 2.46
O 0.5573 0.4191 0.8324  2 Pb 2.23-2.31, 1 Er 2.46
O 0.5573 0.6382 0.7250  2 Pb 2.23-2.31, 1 Er 2.46
O 0.5809 0.1676 0.4427  2 Pb 2.23-2.31, 1 Er 2.46
O 0.5809 0.9132 0.1382  2 Pb 2.23-2.31, 1 Er 2.46
O 0.5868 0.1676 0.2250  2 Pb 2.23-2.31, 1 Er 2.46
O 0.5868 0.9191 0.3618  2 Pb 2.23-2.31, 1 Er 2.46
O 0.6382 0.4132 0.0809  2 Pb 2.23-2.31, 1 Er 2.46
O 0.6382 0.7250 0.5573  2 Pb 2.23-2.31, 1 Er 2.46
O 0.6676 0.0809 0.9427  2 Pb 2.23-2.31, 1 Er 2.46
O 0.6676 0.0868 0.7250  2 Pb 2.23-2.31, 1 Er 2.46
O 0.7250 0.5573 0.6382  2 Pb 2.23-2.31, 1 Er 2.46
O 0.7250 0.6676 0.0868  2 Pb 2.23-2.31, 1 Er 2.46
O 0.7750 0.4132 0.8324  2 Pb 2.23-2.31, 1 Er 2.46
O 0.7750 0.8618 0.9427  2 Pb 2.23-2.31, 1 Er 2.46
O 0.8324 0.5573 0.4191  2 Pb 2.23-2.31, 1 Er 2.46
O 0.8324 0.7750 0.4132  2 Pb 2.23-2.31, 1 Er 2.46
O 0.8618 0.4191 0.0868  2 Pb 2.23-2.31, 1 Er 2.46
O 0.8618 0.9427 0.7750  2 Pb 2.23-2.31, 1 Er 2.46
O 0.9132 0.1382 0.5809  2 Pb 2.23-2.31, 1 Er 2.46
O 0.9132 0.2750 0.3324  2 Pb 2.23-2.31, 1 Er 2.46
O 0.9191 0.0573 0.3324  2 Pb 2.23-2.31, 1 Er 2.46
O 0.9191 0.3618 0.5868  2 Pb 2.23-2.31, 1 Er 2.46
O 0.9427 0.6676 0.0809  2 Pb 2.23-2.31, 1 Er 2.46
O 0.9427 0.7750 0.8618  2 Pb 2.23-2.31, 1 Er 2.46

Output
- volume (Å³/cell) = 1259.8
- calculated total energy (eV/atom) = -6.2925
- space-group type = Ia-3d (230)

Record 4
VASP calculation (PBE-GGA) on crystalline Er3PbO6 at its relaxed geometry.

Cell: 6.7534 6.7534 6.7534 Å, 92.47 92.47 92.47°
Last column: nearest neighbours and their distance in Å.
Sites, in units of the cell vectors:
Er 0.0588 0.5677 0.7506  6 O 2.19-2.35
Er 0.2494 0.9412 0.4323  6 O 2.19-2.35
Er 0.4323 0.2494 0.9412  6 O 2.19-2.35
Er 0.5677 0.7506 0.0588  6 O 2.19-2.35
Er 0.7506 0.0588 0.5677  6 O 2.19-2.35
Er 0.9412 0.4323 0.2494  6 O 2.19-2.35
Pb 0.0000 0.0000 0.0000  6 O 2.21
Pb 0.5000 0.5000 0.5000  6 O 2.51
O 0.0249 0.9023 0.6866  1 Pb 2.21, 3 Er 2.30-2.35
O 0.0977 0.3134 0.9751  1 Pb 2.21, 3 Er 2.30-2.35
O 0.1579 0.6193 0.4307  3 Er 2.19-2.33
O 0.3134 0.9751 0.0977  1 Pb 2.21, 3 Er 2.30-2.35
O 0.3807 0.5693 0.8421  3 Er 2.19-2.33
O 0.4307 0.1579 0.6193  3 Er 2.19-2.33
O 0.5693 0.8421 0.3807  3 Er 2.19-2.33
O 0.6193 0.4307 0.1579  3 Er 2.19-2.33
O 0.6866 0.0249 0.9023  1 Pb 2.21, 3 Er 2.30-2.35
O 0.8421 0.3807 0.5693  3 Er 2.19-2.33
O 0.9023 0.6866 0.0249  1 Pb 2.21, 3 Er 2.30-2.35
O 0.9751 0.0977 0.3134  1 Pb 2.21, 3 Er 2.30-2.35

Output
- volume (Å³/cell) = 307.1
- calculated total energy (eV/atom) = -7.6338
- space-group type = R-3 (148)

Record 5
VASP calculation (PBE-GGA) on crystalline Er4Pb3O at its relaxed geometry.

Cell: 7.7484 9.7123 6.3016 Å, 90.00 90.00 90.00°
Last column: nearest neighbours and their distance in Å.
Sites, in units of the cell vectors:
Er 0.0000 0.0464 0.0000  1 O 2.38
Er 0.0000 0.8000 0.4132  1 O 2.24
Er 0.2336 0.6869 0.9707  1 O 2.21
Er 0.2664 0.3131 0.4707  1 O 2.21
Er 0.5000 0.2000 0.9132  1 O 2.24
Er 0.5000 0.9536 0.5000  1 O 2.38
Er 0.7336 0.3131 0.4707  1 O 2.21
Er 0.7664 0.6869 0.9707  1 O 2.21
Pb 0.0000 0.0883 0.5134  4 Er 2.87-3.09
Pb 0.1915 0.3675 0.9821  3 Er 2.92-3.18, 1 Pb 2.97
Pb 0.3085 0.6325 0.4821  3 Er 2.92-3.18, 1 Pb 2.97
Pb 0.5000 0.9117 0.0134  4 Er 2.87-3.09
Pb 0.6915 0.6325 0.4821  3 Er 2.92-3.18, 1 Pb 2.97
Pb 0.8085 0.3675 0.9821  3 Er 2.92-3.18, 1 Pb 2.97
O 0.0000 0.8041 0.0572  4 Er 2.21-2.38
O 0.5000 0.1959 0.5572  4 Er 2.21-2.38

Output
- volume (Å³/cell) = 474.2
- calculated total energy (eV/atom) = -5.1165
- space-group type = Pmn2_1 (31)

Record 6
VASP calculation (PBE-GGA) on crystalline Er2PbO2 at its relaxed geometry.

Cell: 3.8101 3.8101 14.0755 Å, 90.00 90.00 90.00°
Last column: nearest neighbours and their distance in Å.
Sites, in units of the cell vectors:
Er 0.0000 0.0000 0.1715  4 O 2.20
Er 0.0000 0.0000 0.8285  4 O 2.20
Er 0.5000 0.5000 0.3285  4 O 2.20
Er 0.5000 0.5000 0.6715  4 O 2.20
Pb 0.0000 0.0000 0.5000  8 Er 3.62, 4 Pb 3.81, 8 O 4.00
Pb 0.5000 0.5000 0.0000  8 Er 3.62, 4 Pb 3.81, 8 O 4.00
O 0.0000 0.5000 0.2500  4 Er 2.20
O 0.0000 0.5000 0.7500  4 Er 2.20
O 0.5000 0.0000 0.2500  4 Er 2.20
O 0.5000 0.0000 0.7500  4 Er 2.20

Output
- volume (Å³/cell) = 204.3
- calculated total energy (eV/atom) = -7.1350
- space-group type = I4/mmm (139)

Record 7
VASP calculation (PBE-GGA) on crystalline Er2Pb2O7 at its relaxed geometry.

Cell: 7.5765 7.5765 7.5765 Å, 60.00 60.00 60.00°
Last column: nearest neighbours and their distance in Å.
Sites, in units of the cell vectors:
Er 0.0000 0.0000 0.0000  8 O 2.32-2.48
Er 0.0000 0.0000 0.5000  8 O 2.32-2.48
Er 0.0000 0.5000 0.0000  8 O 2.32-2.48
Er 0.5000 0.0000 0.0000  8 O 2.32-2.48
Pb 0.0000 0.5000 0.5000  6 O 2.18
Pb 0.5000 0.0000 0.5000  6 O 2.18
Pb 0.5000 0.5000 0.0000  6 O 2.18
Pb 0.5000 0.5000 0.5000  6 O 2.18
O 0.1250 0.1250 0.1250  4 Er 2.32
O 0.1490 0.1490 0.6010  2 Pb 2.18
O 0.1490 0.6010 0.1490  2 Pb 2.18
O 0.1490 0.6010 0.6010  2 Pb 2.18
O 0.3990 0.3990 0.8510  2 Pb 2.18
O 0.3990 0.8510 0.3990  2 Pb 2.18
O 0.3990 0.8510 0.8510  2 Pb 2.18
O 0.6010 0.1490 0.1490  2 Pb 2.18
O 0.6010 0.1490 0.6010  2 Pb 2.18
O 0.6010 0.6010 0.1490  2 Pb 2.18
O 0.8510 0.3990 0.3990  2 Pb 2.18
O 0.8510 0.3990 0.8510  2 Pb 2.18
O 0.8510 0.8510 0.3990  2 Pb 2.18
O 0.8750 0.8750 0.8750  4 Er 2.32

Output
- volume (Å³/cell) = 307.5
- calculated total energy (eV/atom) = -6.7638
- space-group type = Fd-3m (227)

Record 8
VASP calculation (PBE-GGA) on crystalline Er2Pb2O at its relaxed geometry.

Cell: 8.4105 8.4105 8.3442 Å, 90.00 90.00 154.90°
Last column: nearest neighbours and their distance in Å.
Sites, in units of the cell vectors:
Er 0.0388 0.9612 0.5000  1 O 2.25
Er 0.3726 0.6274 0.3237  2 O 2.16
Er 0.6274 0.3726 0.8237  2 O 2.16
Er 0.9612 0.0388 0.0000  1 O 2.25
Pb 0.2737 0.7263 0.9918  1 Pb 3.17, 3 Er 3.21-3.33
Pb 0.3921 0.6079 0.6915  5 Er 3.09-3.42, 1 Pb 3.17, 2 O 3.42
Pb 0.6079 0.3921 0.1915  5 Er 3.09-3.42, 1 Pb 3.17, 2 O 3.42
Pb 0.7263 0.2737 0.4918  1 Pb 3.17, 3 Er 3.21-3.33
O 0.0639 0.9361 0.7654  3 Er 2.16-2.25
O 0.9361 0.0639 0.2654  3 Er 2.16-2.25

Output
- volume (Å³/cell) = 250.4
- calculated total energy (eV/atom) = -5.5869
- space-group type = Cmc2_1 (36)

Please write out number 1 again, unchanged.
VASP calculation (PBE-GGA) on crystalline ErZrPaO6 at its relaxed geometry.

Cell: 5.5845 5.5845 9.5091 Å, 90.00 90.00 120.00°
Last column: nearest neighbours and their distance in Å.
Sites, in units of the cell vectors:
Er 0.3333 0.6667 0.2500  6 O 2.25
Er 0.6667 0.3333 0.7500  6 O 2.25
Zr 0.3333 0.6667 0.7500  6 O 2.13
Zr 0.6667 0.3333 0.2500  6 O 2.13
Pa 0.0000 0.0000 0.0000  6 O 2.22
Pa 0.0000 0.0000 0.5000  6 O 2.22
O 0.0171 0.3375 0.6302  1 Zr 2.13, 1 Pa 2.22, 1 Er 2.25
O 0.0171 0.6796 0.8698  1 Zr 2.13, 1 Pa 2.22, 1 Er 2.25
O 0.3204 0.3375 0.8698  1 Zr 2.13, 1 Pa 2.22, 1 Er 2.25
O 0.3204 0.9829 0.6302  1 Zr 2.13, 1 Pa 2.22, 1 Er 2.25
O 0.3375 0.0171 0.1302  1 Zr 2.13, 1 Pa 2.22, 1 Er 2.25
O 0.3375 0.3204 0.3698  1 Zr 2.13, 1 Pa 2.22, 1 Er 2.25
O 0.6625 0.6796 0.6302  1 Zr 2.13, 1 Pa 2.22, 1 Er 2.25
O 0.6625 0.9829 0.8698  1 Zr 2.13, 1 Pa 2.22, 1 Er 2.25
O 0.6796 0.0171 0.3698  1 Zr 2.13, 1 Pa 2.22, 1 Er 2.25
O 0.6796 0.6625 0.1302  1 Zr 2.13, 1 Pa 2.22, 1 Er 2.25
O 0.9829 0.3204 0.1302  1 Zr 2.13, 1 Pa 2.22, 1 Er 2.25
O 0.9829 0.6625 0.3698  1 Zr 2.13, 1 Pa 2.22, 1 Er 2.25

Output
- volume (Å³/cell) = 256.8
- calculated total energy (eV/atom) = -9.2725
- space-group type = P-31c (163)